Entry 1:
Density functional theory data (GGA-PBEsol) for a relaxed structure of YAg4.

Results
Calculated formation energy = -0.5 eV/f.u.

Lattice parameters (Å, degrees): 3.9085 3.9085 13.1468 90.00 90.00 90.00
Space group I4/mmm (No. 139)
Symmetry-distinct sites (fractional):
1 Y 0.0000 0.0000 0.0000 x2
2 Ag 0.0000 0.0000 0.3984 x4
3 Ag 0.0000 0.5000 0.2500 x4

---

Entry 2:
Density functional theory data (GGA-PBEsol) for a relaxed structure of NaCoSiPd2.

Results
ΔE_f (raw) = 0.973 eV/atom

Lattice parameters (Å, degrees): 4.5113 4.5113 4.5895 90.00 90.00 90.00
Space group P4/mmm (No. 123)
Symmetry-distinct sites (fractional):
1 Na 0.0000 0.0000 0.0000 x1
2 Co 0.0000 0.0000 0.5000 x1
3 Si 0.5000 0.5000 0.0000 x1
4 Pd 0.0000 0.5000 0.5000 x2

---

Entry 3:
Density functional theory data (GGA-PBEsol) for a relaxed structure of V3Sn.

Results
Calculated formation energy = -0.4 eV/f.u.

Lattice parameters (Å, degrees): 4.8966 4.8966 4.8966 90.00 90.00 90.00
Space group Pm-3n (No. 223)
Symmetry-distinct sites (fractional):
1 V 0.0000 0.2500 0.5000 x6
2 Sn 0.0000 0.0000 0.0000 x2

---

Entry 4:
Density functional theory data (GGA-PBEsol) for a relaxed structure of InNi3Pd.

Results
Calculated formation energy = 5.4 eV/f.u.

Lattice parameters (Å, degrees): 4.4875 4.4875 4.4875 90.00 90.00 90.00
Space group Pm-3m (No. 221)
Symmetry-distinct sites (fractional):
1 In 0.0000 0.0000 0.0000 x1
2 Ni 0.0000 0.5000 0.5000 x3
3 Pd 0.5000 0.5000 0.5000 x1

---

Respective M_tot values: 0.0 2.4 0.0 2.3 μB per formula unit.
Respective calculated total energy values: -4.113 -4.387 -8.395 -4.404 eV/atom.